1.
DFT (GGA-PBE) results for crystalline LaSbAuC2 at its relaxed geometry.

Computed properties:
Uncorrected formation energy ... 1.885 eV per atom
Crystal system ... tetragonal

Unit cell a=4.444 b=5.825 c=4.444 alpha=90.00 beta=90.00 gamma=90.00
Atoms (fractional coordinates):
Sb  0.500  0.500  0.500
C  0.500  0.000  0.000
C  0.000  0.000  0.500
La  0.000  0.000  0.000
Au  0.000  0.500  0.000



2.
DFT (GGA-PBE) results for crystalline LaSc2AuC at its relaxed geometry.

Computed properties:
Crystal system ... tetragonal
E_form ... -0.469 eV/atom

Unit cell a=4.501 b=4.501 c=5.268 alpha=90.00 beta=90.00 gamma=90.00
Atoms (fractional coordinates):
Sc  0.500  0.000  0.000
Sc  0.000  0.500  0.000
La  0.000  0.000  0.500
C  0.000  0.000  0.000
Au  0.500  0.500  0.500



3.
DFT (GGA-PBE) results for crystalline LaTa2AuC at its relaxed geometry.

Computed properties:
Crystal system ... tetragonal
E_form ... 0.287 eV/atom

Unit cell a=4.401 b=4.401 c=4.895 alpha=90.00 beta=90.00 gamma=90.00
Atoms (fractional coordinates):
C  0.000  0.000  0.000
Ta  0.000  0.500  0.000
Ta  0.500  0.000  0.000
La  0.500  0.500  0.500
Au  0.000  0.000  0.500



4.
DFT (GGA-PBE) results for crystalline La2TcAuC at its relaxed geometry.

Computed properties:
Crystal system ... tetragonal
E_form ... -0.320 eV/atom

Unit cell a=5.333 b=5.333 c=3.973 alpha=90.00 beta=90.00 gamma=90.00
Atoms (fractional coordinates):
La  0.000  0.500  0.000
La  0.500  0.000  0.000
Tc  0.000  0.000  0.500
C  0.000  0.000  0.000
Au  0.500  0.500  0.500



Please write out number 2 again, unchanged.
DFT (GGA-PBE) results for crystalline LaSc2AuC at its relaxed geometry.

Computed properties:
Crystal system ... tetragonal
E_form ... -0.469 eV/atom

Unit cell a=4.501 b=4.501 c=5.268 alpha=90.00 beta=90.00 gamma=90.00
Atoms (fractional coordinates):
Sc  0.500  0.000  0.000
Sc  0.000  0.500  0.000
La  0.000  0.000  0.500
C  0.000  0.000  0.000
Au  0.500  0.500  0.500